An optimized crystal structure of ZrCuF2, computed with PBE.

abc: 4.1672 4.1672 4.1672
angles: 60.00 60.00 60.00
Last column: nearest neighbours and their distance in Å.
Sites, in units of the cell vectors:
Zr1 0.5000 0.5000 0.5000  8 F 2.55
F1 0.7500 0.7500 0.7500  4 Zr 2.55, 4 Cu 2.55
F2 0.2500 0.2500 0.2500  4 Zr 2.55, 4 Cu 2.55
Cu1 0.0000 0.0000 0.0000  8 F 2.55

## Properties
ρ in g cm⁻³: 6.3
Energy above the lowest structure with this stoichiometry in meV per atom: 468

An optimized crystal structure of ZrCuF2, computed with PBE.

abc: 8.4191 8.4191 8.4191
angles: 21.48 21.48 21.48
Last column: nearest neighbours and their distance in Å.
Sites, in units of the cell vectors:
F1 0.0809 0.0809 0.0809  1 Zr 2.00
F2 0.9191 0.9191 0.9191  1 Zr 2.00
Cu1 0.5000 0.5000 0.5000  6 F 2.78
Zr1 0.0000 0.0000 0.0000  2 F 2.00

## Properties
ρ in g cm⁻³: 4.6
Energy above the lowest structure with this stoichiometry in meV per atom: 371

An optimized crystal structure of Fe4Cu, computed with PBE.

abc: 4.7027 4.7027 4.7027
angles: 95.78 95.78 143.00
Last column: nearest neighbours and their distance in Å.
Sites, in units of the cell vectors:
Fe1 0.8041 0.3988 0.2029  6 Fe 2.47-2.49, 2 Cu 2.51
Fe2 0.6012 0.8041 0.4054  6 Fe 2.47-2.49, 2 Cu 2.51
Fe3 0.1959 0.6012 0.7971  6 Fe 2.47-2.49, 2 Cu 2.51
Fe4 0.3988 0.1959 0.5946  6 Fe 2.47-2.49, 2 Cu 2.51
Cu1 0.0000 0.0000 0.0000  12 Fe 2.51-2.80

## Properties
Energy of formation in meV/atom: 114
ρ in g cm⁻³: 8.0
Energy above the lowest structure with this stoichiometry in meV per atom: 0

An optimized crystal structure of FeCu, computed with PBE.

abc: 2.4592 2.4592 4.1109
angles: 90.00 90.00 106.39
Last column: nearest neighbours and their distance in Å.
Sites, in units of the cell vectors:
Fe1 0.5000 0.5000 0.5000  4 Fe 2.46, 4 Cu 2.53
Cu1 0.0000 0.0000 0.0000  4 Cu 2.46, 4 Fe 2.53

## Properties
Energy of formation in meV/atom: 169
ρ in g cm⁻³: 8.3

An optimized crystal structure of Fe2Cu, computed with PBE.

abc: 4.5157 4.5157 4.5157
angles: 147.31 133.50 58.00
Last column: nearest neighbours and their distance in Å.
Sites, in units of the cell vectors:
Fe1 0.6693 0.6693 0.0000  7 Fe 2.53-2.68, 5 Cu 2.57-2.61
Fe2 0.3307 0.3307 0.0000  7 Fe 2.53-2.68, 5 Cu 2.57-2.61
Cu1 0.0000 0.0000 0.0000  2 Cu 2.54, 10 Fe 2.57-2.61

## Properties
Energy of formation in meV/atom: 147
ρ in g cm⁻³: 8.1

An optimized crystal structure of Fe3Cu, computed with PBE.

abc: 2.4960 2.4960 8.3618
angles: 90.00 90.00 120.00
Last column: nearest neighbours and their distance in Å.
Sites, in units of the cell vectors:
Fe1 0.3333 0.6667 0.2584  9 Fe 2.48-2.50, 3 Cu 2.60
Fe2 0.0000 0.0000 0.5000  12 Fe 2.48-2.50
Fe3 0.3333 0.6667 0.7416  9 Fe 2.48-2.50, 3 Cu 2.60
Cu1 0.0000 0.0000 0.0000  6 Cu 2.50, 6 Fe 2.60

## Properties
Energy of formation in meV/atom: 175
ρ in g cm⁻³: 8.5